No. 1
! Ce2Nb2N3 PBE-GGA optimized geometry; values from VASP
&SYSTEM
  ibrav = 0, nat = 14, ntyp = 3
/
ATOMIC_SPECIES
Ce 140.12 Ce.upf
Nb 92.91 Nb.upf
N 14.01 N.upf
ATOMIC_POSITIONS crystal
Ce 0.111 0.000 0.334
Ce 0.389 0.500 0.666
Ce 0.611 0.500 0.334
Ce 0.889 0.000 0.666
Nb 0.154 0.500 0.842
Nb 0.346 0.000 0.158
Nb 0.654 0.000 0.842
Nb 0.846 0.500 0.158
N 0.000 0.500 0.500
N 0.250 0.000 0.759
N 0.250 0.500 0.241
N 0.500 0.000 0.500
N 0.750 0.000 0.241
N 0.750 0.500 0.759
CELL_PARAMETERS angstrom
11.824 0.000 0.000
0.000 3.381 0.000
-2.072 0.000 5.419
! - Spin magnetization: 0.0 Bohr magnetons per cell
! - Total energy: -130.5 eV/cell
! - SG: C2/m


No. 2
! YBeSe2F PBE-GGA optimized geometry; values from VASP
&SYSTEM
  ibrav = 0, nat = 5, ntyp = 4
/
ATOMIC_SPECIES
Y 88.91 Y.upf
Be 9.01 Be.upf
Se 78.96 Se.upf
F 19.00 F.upf
ATOMIC_POSITIONS crystal
Y 0.000 0.000 0.000
Be 0.000 0.000 0.500
Se 0.000 0.500 0.000
Se 0.500 0.000 0.000
F 0.500 0.500 0.500
CELL_PARAMETERS angstrom
5.373 0.000 0.000
0.000 5.373 0.000
0.000 0.000 5.863
! - Spin magnetization: 1.1 Bohr magnetons per cell
! - Total energy: -18.3 eV/cell
! - SG: P4/mmm


No. 3
! YCoHg PBE-GGA optimized geometry; values from VASP
&SYSTEM
  ibrav = 0, nat = 12, ntyp = 3
/
ATOMIC_SPECIES
Y 88.91 Y.upf
Co 58.93 Co.upf
Hg 200.59 Hg.upf
ATOMIC_POSITIONS crystal
Y 0.000 0.000 0.000
Y 0.000 0.500 0.500
Y 0.500 0.000 0.500
Y 0.500 0.500 0.000
Co 0.250 0.250 0.750
Co 0.250 0.750 0.250
Co 0.750 0.250 0.250
Co 0.750 0.750 0.750
Hg 0.250 0.250 0.250
Hg 0.250 0.750 0.750
Hg 0.750 0.250 0.750
Hg 0.750 0.750 0.250
CELL_PARAMETERS angstrom
6.706 0.000 0.000
0.000 6.706 0.000
0.000 0.000 6.706
! - Spin magnetization: 2.3 Bohr magnetons per cell
! - Formation energy from the elements: 0.484 eV/atom
! - SG: F-43m


No. 4
! MnFeCu2 PBE-GGA optimized geometry; values from VASP
&SYSTEM
  ibrav = 0, nat = 16, ntyp = 3
/
ATOMIC_SPECIES
Mn 54.94 Mn.upf
Fe 55.84 Fe.upf
Cu 63.55 Cu.upf
ATOMIC_POSITIONS crystal
Mn 0.000 0.000 0.000
Mn 0.000 0.500 0.500
Mn 0.500 0.000 0.500
Mn 0.500 0.500 0.000
Fe 0.250 0.250 0.250
Fe 0.250 0.750 0.750
Fe 0.750 0.250 0.750
Fe 0.750 0.750 0.250
Cu 0.000 0.000 0.500
Cu 0.000 0.500 0.000
Cu 0.250 0.250 0.750
Cu 0.250 0.750 0.250
Cu 0.500 0.000 0.000
Cu 0.500 0.500 0.500
Cu 0.750 0.250 0.250
Cu 0.750 0.750 0.750
CELL_PARAMETERS angstrom
5.824 0.000 0.000
0.000 5.824 0.000
0.000 0.000 5.824
! - Spin magnetization: 24.2 Bohr magnetons per cell
! - Formation energy from the elements: 0.267 eV/atom
! - SG: F-43m


no.,V (Å³/atom)
1,15.473
2,33.847
3,25.133
4,12.344